First-principles (PBE) data for a relaxed structure of LaErCd, as listed in the Alexandria database.

Cell: 5.2659 5.2620 5.2620 Å, 59.95 59.98 59.98°
Closest atoms and distances in Å follow each position.
Fractional positions:
Er 0.2501 0.2499 0.2499  4 Cd 3.22
Cd 0.0000 0.0000 0.0000  4 Er 3.22, 4 La 3.22
La 0.7498 0.7502 0.7502  4 Cd 3.22

energy above the lowest structure with this stoichiometry	0.274	eV per atom
energy of formation	0.0831	eV per atom
total moment	0.02	Bohr magnetons per cell